Entry from Alexandria via LeMat-Bulk: crystalline Li6V3P8O29 at its relaxed geometry (PBE with a Hubbard U).

It has space group P-3c1 (No. 165), with a = 9.8025 Å, b = 9.8025 Å, c = 13.9501 Å, α = 90.00°, β = 90.00° and γ = 120.00°. The inequivalent atoms are Li at (0.0962, 0.3253, 0.4394), V at (0.0000, 0.4303, 0.2500), P at (0.0876, 0.3215, 0.6579), P at (0.3333, 0.6667, 0.3724), O at (0.0000, 0.2122, 0.7500), O at (0.0013, 0.2434, 0.9320), O at (0.0826, 0.3344, 0.1586), O at (0.1007, 0.4822, 0.6754), O at (0.1885, 0.5102, 0.3319) and O at (0.3333, 0.6667, 0.4795).

The calculation puts the electronic total energy at -7.022 eV/atom. The value obtained for the total moment is 0.062 μB per atom. For the excess energy over the best structure of this formula in the dataset, the calculation gives 0.003 eV per atom.